This record from OQMD via LeMat-Bulk describes an optimized crystal structure of Gd2DyMg3CdHg2. The functional is PBE-GGA.

Computed properties:
DFT total energy, eV for the cell shown: -23.3

a b c (Å): 4.675 7.431 7.431
angles (deg): 119.56 90.00 90.00
Fractional positions:
Gd 0.000 0.001 0.426
Gd 0.000 0.426 0.001
Mg 0.500 0.758 0.000
Mg 0.500 0.242 0.242
Mg 0.500 0.000 0.758
Dy 0.000 0.575 0.575
Cd 0.000 0.997 0.997
Hg 0.500 0.666 0.336
Hg 0.500 0.336 0.666

***

This record from OQMD via LeMat-Bulk describes an optimized crystal structure of GdDyCd2In2. The functional is PBE-GGA.

Computed properties:
DFT total energy, eV for the cell shown: -19.2

a b c (Å): 4.852 4.852 7.434
angles (deg): 90.00 90.00 120.00
Fractional positions:
In 0.333 0.667 0.302
In 0.667 0.333 0.799
Gd 0.000 0.000 0.015
Dy 0.000 0.000 0.515
Cd 0.667 0.333 0.222
Cd 0.333 0.667 0.719

***

This record from OQMD via LeMat-Bulk describes an optimized crystal structure of GdDy2Cd4In2. The functional is PBE-GGA.

Computed properties:
DFT total energy, eV for the cell shown: -26.5

a b c (Å): 4.615 7.506 7.506
angles (deg): 120.17 90.00 90.00
Fractional positions:
In 0.500 0.668 0.333
In 0.500 0.333 0.668
Dy 0.000 0.000 0.574
Dy 0.000 0.574 0.000
Cd 0.000 0.998 0.998
Cd 0.500 0.000 0.242
Cd 0.500 0.757 0.757
Cd 0.500 0.242 0.000
Gd 0.000 0.427 0.427

***

This record from OQMD via LeMat-Bulk describes an optimized crystal structure of Gd2DyCdIn2. The functional is PBE-GGA.

Computed properties:
DFT total energy, eV for the cell shown: -22.2

a b c (Å): 5.163 5.163 7.103
angles (deg): 90.00 90.00 120.00
Fractional positions:
In 0.667 0.333 0.500
In 0.000 0.000 0.000
Gd 0.333 0.667 0.245
Gd 0.333 0.667 0.755
Dy 0.000 0.000 0.500
Cd 0.667 0.333 0.000